This record from Alexandria via LeMat-Bulk describes a geometry-optimized CaMgIr2 structure. The functional is PBE.

The space group is Imm2 (No. 44) and the conventional cell measures 2.9864, 4.7385 and 10.4015 Å, with angles of 90.00, 90.00 and 90.00 degrees. Symmetry generates all atoms from Ca at (0.0000, 0.0000, 0.0000), Mg at (0.0000, 0.5000, 0.2066), Ir at (0.0000, 0.0000, 0.4735) and Ir at (0.0000, 0.5000, 0.7676).

The formation energy is -0.159 eV/atom.

=====

This record from Alexandria via LeMat-Bulk describes a geometry-optimized Y2CdFeC structure. The functional is PBE.

The space group is P4/mmm (No. 123) and the conventional cell measures 5.0518, 5.0518 and 3.7219 Å, with angles of 90.00, 90.00 and 90.00 degrees. Symmetry generates all atoms from Y at (0.0000, 0.5000, 0.0000), Cd at (0.0000, 0.0000, 0.5000), Fe at (0.5000, 0.5000, 0.5000) and C at (0.5000, 0.5000, 0.0000).

The formation energy is -0.315 eV/atom.

=====

This record from Alexandria via LeMat-Bulk describes a geometry-optimized LiSbSe4 structure. The functional is PBE.

The space group is P2/c (No. 13) and the conventional cell measures 5.4826, 7.2885 and 7.5610 Å, with angles of 90.00, 91.06 and 90.00 degrees. Symmetry generates all atoms from Li at (0.0000, 0.0999, 0.2500), Sb at (0.5000, 0.3697, 0.7500), Se at (0.1468, 0.3833, 0.0315) and Se at (0.3179, 0.0946, 0.5261).

The formation energy without anion corrections is -0.353 eV/atom. For the offset from the most stable computed form, the calculation gives 0.00 eV/f.u.

=====

This record from Alexandria via LeMat-Bulk describes a geometry-optimized AlB2P structure. The functional is PBE.

The space group is Fm-3m (No. 225) and the conventional cell measures 5.5127, 5.5127 and 5.5127 Å, with angles of 90.00, 90.00 and 90.00 degrees. Symmetry generates all atoms from Al at (0.0000, 0.0000, 0.0000), B at (0.2500, 0.2500, 0.2500) and P at (0.0000, 0.0000, 0.5000).

The formation energy is 1.181 eV/atom. For the offset from the most stable computed form, the calculation gives 4.65 eV/f.u.

=====

This record from Alexandria via LeMat-Bulk describes a geometry-optimized Tb8Ag2Sb structure. The functional is PBE.

The space group is C2/m (No. 12) and the conventional cell measures 8.6584, 13.9630 and 5.5588 Å, with angles of 90.00, 108.02 and 90.00 degrees. Symmetry generates all atoms from Tb at (0.0000, 0.2347, 0.0000), Tb at (0.1044, 0.5000, 0.8033), Tb at (0.2008, 0.1160, 0.6053), Ag at (0.0000, 0.3069, 0.5000) and Sb at (0.0000, 0.0000, 0.0000).

The formation energy without anion corrections is -0.158 eV/atom.

=====

This record from Alexandria via LeMat-Bulk describes a geometry-optimized HfMgI2 structure. The functional is PBE.

The space group is I-42d (No. 122) and the conventional cell measures 10.2294, 10.2294 and 6.0498 Å, with angles of 90.00, 90.00 and 90.00 degrees. Symmetry generates all atoms from Hf at (0.0000, 0.0000, 0.0000), Mg at (0.0000, 0.0000, 0.5000) and I at (0.1028, 0.2500, 0.1250).

The formation energy without anion corrections is 0.065 eV/atom. For the offset from the most stable computed form, the calculation gives 0.00 eV/f.u.